(1)
Here is a relaxed structure of LiCr2Fe from the Alexandria database. Energies are from PBEsol.

Results
Calculated volume (Å³ per cell): 46
Energy relative to the elements (eV per atom): 0.351
Calculated density (g/cm³): 6.0

a b c (Å): 8.8412 8.8412 8.8412
angles (deg): 16.02 16.02 16.02
Atoms (fractional coordinates):
Li1 0.0000 0.0000 0.0000
Cr1 0.2421 0.2421 0.2421
Cr2 0.7579 0.7579 0.7579
Fe1 0.5000 0.5000 0.5000

***

(2)
Here is a relaxed structure of Li2CrFe from the Alexandria database. Energies are from PBEsol.

Results
Calculated volume (Å³ per cell): 54
Energy relative to the elements (eV per atom): 0.332
Calculated density (g/cm³): 3.8

a b c (Å): 2.7729 2.7729 6.9922
angles (deg): 90.00 90.00 90.00
Atoms (fractional coordinates):
Li1 0.0000 0.0000 0.0000
Li2 0.5000 0.5000 0.3125
Cr1 0.0000 0.0000 0.5923
Fe1 0.5000 0.5000 0.7465

***

(3)
Here is a relaxed structure of LiCr2Fe from the Alexandria database. Energies are from PBEsol.

Results
Calculated volume (Å³ per cell): 44
Energy relative to the elements (eV per atom): 0.420
Calculated density (g/cm³): 6.4

a b c (Å): 2.3275 3.9803 4.6982
angles (deg): 90.00 90.00 90.00
Atoms (fractional coordinates):
Li1 0.0000 0.0000 0.0000
Cr1 0.5000 0.5000 0.2518
Cr2 0.5000 0.5000 0.7482
Fe1 0.0000 0.0000 0.5000

***

(4)
Here is a relaxed structure of Li4Mn3Cr3Fe2O16 from the Alexandria database. Energies are from PBEsol.

Results
Calculated volume (Å³ per cell): 266
E_form (uncorrected) (meV/atom): -1770
Calculated density (g/cm³): 4.5

a b c (Å): 5.7271 5.7271 9.3789
angles (deg): 90.72 90.72 59.72
Atoms (fractional coordinates):
Li1 0.0000 0.0000 0.0000
Li2 0.0009 0.0009 0.5016
Li3 0.3325 0.3325 0.6018
Li4 0.6668 0.6668 0.1036
Mn1 0.1688 0.6620 0.2824
Mn2 0.6620 0.1688 0.2824
Mn3 0.8320 0.8320 0.7826
Cr1 0.1695 0.1695 0.2829
Cr2 0.3423 0.8265 0.7839
Cr3 0.8265 0.3423 0.7839
Fe1 0.3324 0.3324 0.0053
Fe2 0.6671 0.6671 0.5053
O1 0.0345 0.4838 0.1657
O2 0.1615 0.1615 0.8937
O3 0.1621 0.6740 0.8948
O4 0.3249 0.8352 0.3952
O5 0.3385 0.3385 0.3895
O6 0.4804 0.4804 0.1621
O7 0.4838 0.0345 0.1657
O8 0.5159 0.5159 0.6642
O9 0.5198 0.9620 0.6631
O10 0.6740 0.1621 0.8948
O11 0.6735 0.6735 0.8930
O12 0.8352 0.3249 0.3952
O13 0.8386 0.8386 0.3936
O14 0.9620 0.5198 0.6631
O15 0.9959 0.9959 0.1868
O16 0.9969 0.9969 0.6883

***

(5)
Here is a relaxed structure of Li5Cr2Fe3O10 from the Alexandria database. Energies are from PBEsol.

Results
Calculated volume (Å³ per cell): 170
E_form (uncorrected) (meV/atom): -1735
Calculated density (g/cm³): 4.5

a b c (Å): 4.9661 5.0171 7.6230
angles (deg): 107.75 102.09 100.72
Atoms (fractional coordinates):
Li1 0.0000 0.0000 0.0000
Li2 0.1059 0.2113 0.7184
Li3 0.2882 0.5874 0.0926
Li4 0.7118 0.4126 0.9074
Li5 0.8941 0.7887 0.2816
Cr1 0.4009 0.8068 0.8091
Cr2 0.5991 0.1932 0.1909
Fe1 0.1918 0.3939 0.4008
Fe2 0.5000 0.0000 0.5000
Fe3 0.8082 0.6061 0.5992
O1 0.0543 0.6098 0.8352
O2 0.1682 0.8154 0.5567
O3 0.2754 0.0107 0.2627
O4 0.3664 0.1798 0.9557
O5 0.4441 0.4267 0.6546
O6 0.5559 0.5733 0.3454
O7 0.6336 0.8202 0.0443
O8 0.7246 0.9893 0.7373
O9 0.8318 0.1846 0.4433
O10 0.9457 0.3902 0.1648

***

(6)
Here is a relaxed structure of LiCrFe4O8 from the Alexandria database. Energies are from PBEsol.

Results
Calculated volume (Å³ per cell): 137
E_form (uncorrected) (meV/atom): -1510
Calculated density (g/cm³): 5.0

a b c (Å): 5.7687 5.7687 5.8685
angles (deg): 120.37 120.37 59.78
Atoms (fractional coordinates):
Li1 0.0000 0.0000 0.0000
Cr1 0.0000 0.0000 0.5000
Fe1 0.0000 0.5000 0.0000
Fe2 0.3728 0.3728 0.6078
Fe3 0.5000 0.0000 0.0000
Fe4 0.6272 0.6272 0.3922
O1 0.2267 0.7518 0.2558
O2 0.2426 0.2426 0.7436
O3 0.2482 0.7733 0.7442
O4 0.2491 0.2491 0.2270
O5 0.7509 0.7509 0.7730
O6 0.7518 0.2267 0.2558
O7 0.7574 0.7574 0.2564
O8 0.7733 0.2482 0.7442

***

(7)
Here is a relaxed structure of LiCr3Fe2O8 from the Alexandria database. Energies are from PBEsol.

Results
Calculated volume (Å³ per cell): 137
E_form (uncorrected) (meV/atom): -1700
Calculated density (g/cm³): 4.9

a b c (Å): 5.7448 5.7448 5.7448
angles (deg): 60.89 60.89 60.89
Atoms (fractional coordinates):
Li1 0.0000 0.0000 0.0000
Cr1 0.3722 0.3722 0.8848
Cr2 0.3722 0.8848 0.3722
Cr3 0.8848 0.3722 0.3722
Fe1 0.3762 0.3762 0.3762
Fe2 0.7500 0.7500 0.7500
O1 0.1365 0.1365 0.1365
O2 0.1419 0.1419 0.5870
O3 0.1419 0.5870 0.1419
O4 0.1552 0.6136 0.6136
O5 0.5870 0.1419 0.1419
O6 0.6136 0.1552 0.6136
O7 0.6136 0.6136 0.1552
O8 0.6139 0.6139 0.6139

***

(8)
Here is a relaxed structure of Li2CrFe2O6 from the Alexandria database. Energies are from PBEsol.

Results
Calculated volume (Å³ per cell): 289
E_form (uncorrected) (meV/atom): -1687
Calculated density (g/cm³): 4.7

a b c (Å): 6.3953 6.4232 7.9708
angles (deg): 68.93 71.40 80.73
Atoms (fractional coordinates):
Li1 0.0023 0.1607 0.3316
Li2 0.3240 0.1664 0.0027
Li3 0.3405 0.5002 0.6615
Li4 0.6595 0.4998 0.3385
Li5 0.6760 0.8336 0.9973
Li6 0.9977 0.8393 0.6684
Cr1 0.0000 0.5000 0.5000
Cr2 0.3205 0.5226 0.1565
Cr3 0.6795 0.4774 0.8435
Fe1 0.0078 0.8240 0.1707
Fe2 0.3296 0.8221 0.8456
Fe3 0.3427 0.1564 0.4983
Fe4 0.6573 0.8436 0.5017
Fe5 0.6704 0.1779 0.1544
Fe6 0.9922 0.1760 0.8293
O1 0.0039 0.5062 0.2550
O2 0.0170 0.8604 0.9201
O3 0.0273 0.1768 0.5803
O4 0.3040 0.1413 0.7503
O5 0.3201 0.4771 0.4134
O6 0.3252 0.8358 0.0804
O7 0.3446 0.8432 0.5984
O8 0.3543 0.1970 0.2462
O9 0.3575 0.5043 0.9146
O10 0.6425 0.4957 0.0854
O11 0.6457 0.8030 0.7538
O12 0.6554 0.1568 0.4016
O13 0.6748 0.1642 0.9196
O14 0.6799 0.5229 0.5866
O15 0.6960 0.8587 0.2497
O16 0.9727 0.8232 0.4197
O17 0.9830 0.1396 0.0799
O18 0.9961 0.4938 0.7450